The following is a PBE calculation of KOsPdF2 after structural relaxation, from Alexandria.

Its symmetry is P4/mmm, No. 123. As for the energy relative to the elements, uncorrected: -1.82 eV/f.u. Its density of states at the Fermi level is 4.71 states/eV/f.u. The total energy comes out at -4.617 eV/atom.

Cell: 4.3066 4.3066 4.9712 Å, 90.00 90.00 90.00°
Element x y z (fractional)
1 K 0.0000 0.0000 0.0000
2 Os 0.5000 0.5000 0.5000
3 Pd 0.5000 0.5000 0.0000
4 F 0.0000 0.5000 0.5000
5 F 0.5000 0.0000 0.5000



The following is a PBE calculation of KBaSr2Cu after structural relaxation, from Alexandria.

As for the energy relative to the lowest polymorph listed for this composition: 103 meV/atom. Its symmetry is P4/mmm, No. 123. Its density of states at the Fermi level is 4.68 states/eV/f.u. The total energy comes out at -1.970 eV/atom. The formation energy comes out at 0.63 eV/f.u.

Cell: 6.1958 6.1958 6.5449 Å, 90.00 90.00 90.00°
Element x y z (fractional)
1 K 0.0000 0.0000 0.0000
2 Ba 0.5000 0.5000 0.0000
3 Sr 0.0000 0.5000 0.5000
4 Sr 0.5000 0.0000 0.5000
5 Cu 0.0000 0.0000 0.5000



The following is a PBE calculation of CdBrO2 after structural relaxation, from Alexandria.

As for the energy relative to the lowest polymorph listed for this composition: 528 meV/atom. Its symmetry is I-42d, No. 122. As for the energy relative to the elements, uncorrected: 0.35 eV/f.u. Its density of states at the Fermi level is 2.62 states/eV/f.u. The total energy comes out at -3.039 eV/atom.

Cell: 7.2821 7.2821 7.2821 Å, 143.72 143.72 52.24°
Element x y z (fractional)
1 Cd 0.0000 0.0000 0.0000
2 Cd 0.7500 0.2500 0.5000
3 Br 0.2500 0.7500 0.5000
4 Br 0.5000 0.5000 0.0000
5 O 0.1321 0.6250 0.0071
6 O 0.3750 0.3821 0.5071
7 O 0.6179 0.1250 0.9929
8 O 0.8750 0.8679 0.4929



> Which of these has the lowest density of states at the Fermi level?

CdBrO2



> Number 1 is which compound?

KOsPdF2